Entry 1:
Material: KSr2CaNi
Method: DFT, PBE
State: relaxed

Computed properties:
Magnetization in μB per cell: 0.0
ΔH_f (0 K) in eV per atom: 0.033

Unit cell a=6.029 b=6.029 c=5.788 alpha=90.00 beta=90.00 gamma=90.00
Space group P4/mmm (No. 123)
Asymmetric unit:
K: 0.000 0.000 0.000 (multiplicity 1)
Sr: 0.000 0.500 0.500 (multiplicity 2)
Ca: 0.500 0.500 0.000 (multiplicity 1)
Ni: 0.500 0.500 0.500 (multiplicity 1)

Entry 2:
Material: KCaTl2Ni
Method: DFT, PBE
State: relaxed

Computed properties:
Magnetization in μB per cell: 0.0
ΔH_f (0 K) in eV per atom: -0.049

Unit cell a=5.263 b=5.263 c=5.306 alpha=90.00 beta=90.00 gamma=90.00
Space group P4/mmm (No. 123)
Asymmetric unit:
K: 0.000 0.000 0.000 (multiplicity 1)
Ca: 0.500 0.500 0.000 (multiplicity 1)
Tl: 0.000 0.500 0.500 (multiplicity 2)
Ni: 0.500 0.500 0.500 (multiplicity 1)